(1)
The following is a DFT calculation (meta-GGA SCAN) of a PBEsol-optimized structure of NiSnP2Cl.

Structure (POSCAR):
```
NiSnP2Cl
1.0
-4.233 0.683 -2.464
1.172 -3.756 -3.055
-2.293 -3.199 3.053
Ni Sn P Cl
1 1 2 1
direct
0.500 0.500 0.500
0.000 0.000 0.000
0.000 0.000 0.500
0.000 0.500 0.000
0.500 0.000 0.000
```

Values from the calculation:
Magnetization (Bohr magnetons per cell): 1.9
Symmetry: P4/mmm
Electronic total energy (eV per atom): -14.961

(2)
The following is a DFT calculation (meta-GGA SCAN) of a PBEsol-optimized structure of ZnInPb2Br.

Structure (POSCAR):
```
ZnInPb2Br
1.0
5.290 0.000 0.000
0.000 5.290 0.000
0.000 0.000 5.311
Pb Zn Br In
2 1 1 1
direct
0.000 0.500 0.000
0.500 0.000 0.000
0.000 0.000 0.000
0.000 0.000 0.500
0.500 0.500 0.500
```

Values from the calculation:
Magnetization (Bohr magnetons per cell): 0.0
Symmetry: P4/mmm
Electronic total energy (eV per atom): -43.426

(3)
The following is a DFT calculation (meta-GGA SCAN) of a PBEsol-optimized structure of SiGeRu2.

Structure (POSCAR):
```
SiGeRu2
1.0
4.180 0.000 0.000
2.090 3.620 0.000
2.090 1.207 3.413
Ru Ge Si
2 1 1
direct
0.250 0.250 0.250
0.750 0.750 0.750
0.500 0.500 0.500
0.000 0.000 0.000
```

Values from the calculation:
Magnetization (Bohr magnetons per cell): 0.0
Symmetry: Fm-3m
Electronic total energy (eV per atom): -25.188

(4)
The following is a DFT calculation (meta-GGA SCAN) of a PBEsol-optimized structure of AsBrCl2.

Structure (POSCAR):
```
AsBrCl2
1.0
-0.724 -0.414 -4.130
1.264 -4.153 0.195
-4.090 -1.206 0.838
As Br Cl
1 1 2
direct
0.500 0.500 0.500
0.500 0.000 0.000
0.000 0.000 0.500
0.000 0.500 0.000
```

Values from the calculation:
Magnetization (Bohr magnetons per cell): 0.0
Symmetry: P4/mmm
Electronic total energy (eV per atom): -13.381